# NiPdO4

A relaxed NiPdO4 crystal (GGA+U, the Alexandria database).

abc: 5.5034 11.7580 5.2074
angles: 90.00 120.35 90.00
Space group C2/c (No. 15)
Unique sites:
Ni1 0.0000 0.0648 0.2500
Pd1 0.0000 0.1890 0.7500
O1 0.2050 0.0625 0.6873
O2 0.2112 0.1910 0.1907

Computed properties:
* total DFT energy (no corrections): -4.83 eV/atom
* ρ: 5.23 g/cm³